# Hf2GaSn (PBE, relaxed)
# E_form, eV/f.u.: -0.8
# Total DFT energy (no corrections), eV/cell: -83.12
# V, Å³/f.u.: 84
data_Hf2GaSn
_chemical_formula_sum 'Hf6 Ga3 Sn3'
_space_group_name_H-M_alt 'R -3 m'
_space_group_IT_number 166
_space_group_name_Hall '-R 3 2"'
_cell_length_a 3.1812
_cell_length_b 3.1812
_cell_length_c 28.7889
_cell_angle_alpha 90.00
_cell_angle_beta 90.00
_cell_angle_gamma 120.00
loop_
_atom_site_label
_atom_site_type_symbol
_atom_site_fract_x
_atom_site_fract_y
_atom_site_fract_z
Hf1 Hf 0.0000 0.0000 0.2465
Ga1 Ga 0.0000 0.0000 0.5000
Sn1 Sn 0.0000 0.0000 0.0000